DFT (GGA+U) results for a relaxed structure of NdTl2V3F12.

Structure (POSCAR):
```
NdTl2V3F12
1.0
7.176 -0.336 -0.239
3.251 6.406 -0.239
3.251 1.893 6.125
F Tl V Nd
12 2 3 1
direct
0.127 0.127 0.612
0.266 0.266 0.903
0.127 0.612 0.127
0.097 0.734 0.734
0.734 0.734 0.097
0.873 0.388 0.873
0.734 0.097 0.734
0.873 0.873 0.388
0.266 0.903 0.266
0.388 0.873 0.873
0.903 0.266 0.266
0.612 0.127 0.127
0.382 0.382 0.382
0.618 0.618 0.618
0.000 0.000 0.500
0.000 0.500 0.000
0.500 0.000 0.000
0.000 0.000 0.000
```

Its symmetry is R-3m, No. 166. The density of states at the Fermi level comes out at 0.475 states/eV per atom. As for the total energy: -0.42819 Ry/atom.